No. 1
{
  "formula": "SrLiTl2Cd",
  "functional": "PBE",
  "state": "relaxed",
  "lattice_angstrom": [[5.218, 0.000, 0.000], [0.000, 5.218, 0.000], [0.000, 0.000, 5.148]],
  "species": ["Sr", "Tl", "Tl", "Li", "Cd"],
  "frac_coords": [[0.500, 0.500, 0.500], [0.000, 0.500, 0.000], [0.500, 0.000, 0.000], [0.000, 0.000, 0.000], [0.000, 0.000, 0.500]],
  "de_polymorph_mev_per_atom": 59,
  "dos_ef_per_ev_cell": 3.16
}

No. 2
{
  "formula": "Ag2OsPb",
  "functional": "PBE",
  "state": "relaxed",
  "lattice_angstrom": [[2.956, 0.000, 0.000], [0.000, 2.956, 0.000], [0.000, 0.000, 9.008]],
  "species": ["Pb", "Os", "Ag", "Ag"],
  "frac_coords": [[0.500, 0.500, 0.750], [0.500, 0.500, 0.250], [0.000, 0.000, 0.035], [0.000, 0.000, 0.465]],
  "dos_ef_per_ev_cell": 2.80
}

No. 3
{
  "formula": "PrGa2AgAu4",
  "functional": "PBE",
  "state": "relaxed",
  "lattice_angstrom": [[-2.047, -2.881, 2.840], [1.914, -0.997, 3.988], [-4.481, 5.678, 6.149]],
  "species": ["Pr", "Ga", "Ga", "Ag", "Au", "Au", "Au", "Au"],
  "frac_coords": [[0.000, 0.000, 0.000], [0.756, 0.756, 0.731], [0.244, 0.244, 0.269], [0.500, 0.500, 0.500], [0.395, 0.395, 0.815], [0.875, 0.875, 0.376], [0.125, 0.125, 0.624], [0.605, 0.605, 0.185]],
  "dos_ef_per_ev_cell": 2.85
}

No. 4
{
  "formula": "K2VAgSe4",
  "functional": "PBE",
  "state": "relaxed",
  "lattice_angstrom": [[5.932, 0.000, 0.000], [2.966, 6.770, 0.000], [2.966, 0.000, 12.139]],
  "species": ["K", "K", "K", "K", "V", "V", "Ag", "Ag", "Se", "Se", "Se", "Se", "Se", "Se", "Se", "Se"],
  "frac_coords": [[0.182, 0.000, 0.636], [0.818, 0.000, 0.364], [0.568, 0.500, 0.864], [0.932, 0.500, 0.136], [0.250, 0.500, 0.500], [0.500, 0.000, 0.000], [0.750, 0.500, 0.500], [0.000, 0.000, 0.000], [0.335, 0.795, 0.115], [0.245, 0.205, 0.885], [0.870, 0.795, 0.885], [0.550, 0.205, 0.115], [0.415, 0.705, 0.385], [0.505, 0.295, 0.615], [0.880, 0.705, 0.615], [0.200, 0.295, 0.385]],
  "raw_formation_energy_ev_per_fu": -6.7,
  "de_polymorph_mev_per_atom": 26
}

No. 5
{
  "formula": "HfCd2AgOs",
  "functional": "PBE",
  "state": "relaxed",
  "lattice_angstrom": [[5.029, 0.000, 0.000], [0.000, 5.002, 0.000], [0.000, 0.000, 5.029]],
  "species": ["Hf", "Os", "Ag", "Cd", "Cd"],
  "frac_coords": [[0.500, 0.500, 0.500], [0.000, 0.000, 0.000], [0.000, 0.500, 0.000], [0.000, 0.000, 0.500], [0.500, 0.000, 0.000]],
  "dos_ef_per_ev_cell": 8.62
}

No. 6
{
  "formula": "ZrCdRe",
  "functional": "PBE",
  "state": "relaxed",
  "lattice_angstrom": [[7.487, 0.007, -0.005], [6.749, 2.818, -0.002], [0.738, -0.723, 2.717]],
  "species": ["Cd", "Re", "Zr"],
  "frac_coords": [[0.007, 0.007, 0.993], [0.672, 0.672, 0.328], [0.321, 0.321, 0.679]],
  "de_polymorph_mev_per_atom": 38,
  "dos_ef_per_ev_cell": 2.45
}

No. 7
{
  "formula": "CaReAg2",
  "functional": "PBE",
  "state": "relaxed",
  "lattice_angstrom": [[2.797, 0.000, 0.000], [0.000, 4.393, 0.000], [0.000, 0.000, 6.191]],
  "species": ["Re", "Ca", "Ag", "Ag"],
  "frac_coords": [[0.500, 0.500, 0.750], [0.500, 0.500, 0.250], [0.000, 0.000, 0.971], [0.000, 0.000, 0.529]],
  "de_polymorph_mev_per_atom": 79,
  "dos_ef_per_ev_cell": 3.62
}

No. 8
{
  "formula": "BaZnInPt",
  "functional": "PBE",
  "state": "relaxed",
  "lattice_angstrom": [[4.555, 0.000, 0.000], [2.277, 3.944, 0.000], [2.277, 1.315, 6.073]],
  "species": ["Ba", "Zn", "In", "Pt"],
  "frac_coords": [[0.818, 0.818, 0.546], [0.279, 0.279, 0.162], [0.011, 0.011, 0.966], [0.617, 0.617, 0.149]],
  "dos_ef_per_ev_cell": 1.62
}

No. 9
{
  "formula": "ZrTcGeRh2",
  "functional": "PBE",
  "state": "relaxed",
  "lattice_angstrom": [[-3.066, -3.257, 0.056], [3.246, -3.074, -1.022], [0.764, -0.643, 4.361]],
  "species": ["Ge", "Rh", "Rh", "Tc", "Zr"],
  "frac_coords": [[0.000, 0.000, 0.000], [0.000, 0.000, 0.500], [0.500, 0.000, 0.000], [0.000, 0.500, 0.000], [0.500, 0.500, 0.500]],
  "dos_ef_per_ev_cell": 4.23
}

No. 10
{
  "formula": "KZnCo2Br8",
  "functional": "PBE",
  "state": "relaxed",
  "lattice_angstrom": [[6.642, 0.000, 0.000], [3.321, 5.752, 0.000], [3.321, 1.917, 9.744]],
  "species": ["K", "Zn", "Co", "Co", "Br", "Br", "Br", "Br", "Br", "Br", "Br", "Br"],
  "frac_coords": [[0.500, 0.500, 0.500], [0.000, 0.000, 0.000], [0.256, 0.256, 0.232], [0.744, 0.744, 0.768], [0.176, 0.176, 0.471], [0.625, 0.271, 0.161], [0.824, 0.824, 0.529], [0.942, 0.625, 0.161], [0.058, 0.375, 0.839], [0.271, 0.942, 0.161], [0.729, 0.058, 0.839], [0.375, 0.729, 0.839]],
  "raw_formation_energy_ev_per_fu": -7.4,
  "dos_ef_per_ev_cell": 11.83
}

No. 11
{
  "formula": "Pr2Th2Pt15",
  "functional": "PBE",
  "state": "relaxed",
  "lattice_angstrom": [[7.193, 0.027, 0.024], [0.960, 7.128, 0.024], [0.960, 0.843, 7.078]],
  "species": ["Pr", "Pr", "Th", "Th", "Pt", "Pt", "Pt", "Pt", "Pt", "Pt", "Pt", "Pt", "Pt", "Pt", "Pt", "Pt", "Pt", "Pt", "Pt"],
  "frac_coords": [[0.362, 0.362, 0.362], [0.638, 0.638, 0.638], [0.109, 0.109, 0.109], [0.891, 0.891, 0.891], [0.500, 0.000, 0.000], [0.000, 0.000, 0.500], [0.000, 0.500, 0.000], [0.000, 0.688, 0.312], [0.688, 0.312, 0.000], [0.312, 0.000, 0.688], [0.312, 0.688, 0.000], [0.688, 0.000, 0.312], [0.000, 0.312, 0.688], [0.161, 0.652, 0.652], [0.652, 0.652, 0.161], [0.652, 0.161, 0.652], [0.839, 0.348, 0.348], [0.348, 0.348, 0.839], [0.348, 0.839, 0.348]],
  "dos_ef_per_ev_cell": 16.43
}

No. 12
{
  "formula": "Gd2CdSe",
  "functional": "PBE",
  "state": "relaxed",
  "lattice_angstrom": [[4.014, 0.000, 0.000], [2.007, 3.476, 0.000], [2.007, 1.159, 7.858]],
  "species": ["Gd", "Gd", "Se", "Cd"],
  "frac_coords": [[0.260, 0.260, 0.221], [0.740, 0.740, 0.779], [0.000, 0.000, 0.000], [0.500, 0.500, 0.500]],
  "raw_formation_energy_ev_per_fu": -3.9,
  "dos_ef_per_ev_cell": 4.32
}

No. 13
{
  "formula": "KMg2B",
  "functional": "PBE",
  "state": "relaxed",
  "lattice_angstrom": [[-5.662, -2.308, 3.312], [-2.614, -2.251, -6.038], [-1.791, -6.979, -0.627]],
  "species": ["K", "K", "B", "B", "Mg", "Mg", "Mg", "Mg"],
  "frac_coords": [[0.000, 0.000, 0.000], [0.750, 0.250, 0.500], [0.500, 0.500, 0.000], [0.250, 0.750, 0.500], [0.375, 0.125, 0.250], [0.375, 0.625, 0.250], [0.375, 0.625, 0.750], [0.875, 0.625, 0.750]],
  "dos_ef_per_ev_cell": 0.92
}

Ρ per entry: 7.3 12.9 12.0 3.8 9.2 11.3 9.6 7.8 8.5 3.8 16.8 7.7 1.3 g/cm³
Energy per entry: -2.015 -4.439 -3.715 -4.348 -3.803 -7.078 -4.486 -3.547 -7.449 -3.112 -6.768 -9.127 -2.262 eV/atom
Magnetic moment per entry: 0.0 1.0 0.0 0.0 0.0 0.0 0.6 0.0 0.2 7.0 0.0 14.2 0.0 Bohr magnetons per cell